# 1
This record from Alexandria via LeMat-Bulk describes a geometry-optimized RbSmTe2 structure. The functional is PBE-GGA.

The space-group type is P4/mmm (123). The value obtained for the total magnetization is 0.00 μB/f.u. The value obtained for the formation energy without anion corrections is -1.20 eV per atom.

```
RbSmTe2
1.0
3.968 0.000 0.000
0.000 3.968 0.000
0.000 0.000 8.809
Rb Sm Te
1 1 2
Cartesian
0.000 0.000 0.000 Rb
0.000 0.000 4.405 Sm
1.984 1.984 2.589 Te
1.984 1.984 6.220 Te
```

---

# 2
This record from Alexandria via LeMat-Bulk describes a geometry-optimized RbSmTe2 structure. The functional is PBE-GGA.

The space-group type is P-3m1 (164). The value obtained for the total magnetization is 0.00 μB/f.u. The value obtained for the formation energy without anion corrections is -1.38 eV per atom.

```
RbSmTe2
1.0
4.573 0.000 0.000
-2.287 3.961 0.000
0.000 0.000 8.784
Rb Sm Te
1 1 2
Cartesian
0.000 0.000 0.000 Rb
0.000 0.000 4.392 Sm
0.000 2.641 6.159 Te
2.287 1.320 2.624 Te
```

---

# 3
This record from Alexandria via LeMat-Bulk describes a geometry-optimized Rb2Sm3Te6 structure. The functional is PBE-GGA.

The space-group type is C2/m (12). The value obtained for the total magnetization is 0.00 μB/f.u. The value obtained for the formation energy without anion corrections is -1.30 eV per atom.

```
Rb2Sm3Te6
1.0
3.867 -6.699 0.000
3.867 6.699 0.000
-2.580 0.000 8.928
Rb Sm Te
2 3 6
Cartesian
3.867 4.467 0.000 Rb
3.867 -4.467 0.000 Rb
-1.290 0.000 4.464 Sm
2.577 2.241 4.464 Sm
2.577 -2.241 4.464 Sm
0.007 2.220 6.275 Te
1.303 0.000 2.659 Te
0.007 -2.220 6.275 Te
5.148 2.220 2.653 Te
3.852 0.000 6.270 Te
5.148 -2.220 2.653 Te
```

---

# 4
This record from Alexandria via LeMat-Bulk describes a geometry-optimized RbSmTe2 structure. The functional is PBE-GGA.

The space-group type is R3m (160). The value obtained for the total magnetization is 0.00 μB/f.u. The value obtained for the formation energy without anion corrections is -1.39 eV per atom.

```
RbSmTe2
1.0
2.291 1.323 8.696
-2.291 1.323 8.696
0.000 -2.646 8.696
Rb Sm Te
1 1 2
Cartesian
0.000 0.000 0.000 Rb
0.000 0.000 4.404 Sm
0.000 0.000 14.850 Te
0.000 0.000 20.034 Te
```